(1)
# Li3LaMg PBE relaxed
data_Li3LaMg
_space_group_name_H-M_alt 'P m -3 m'
_space_group_IT_number 221
_space_group_name_Hall '-P 4 2 3'
_cell_length_a 5.103
_cell_length_b 5.103
_cell_length_c 5.103
_cell_angle_alpha 90.00
_cell_angle_beta 90.00
_cell_angle_gamma 90.00
loop_
_atom_site_label
_atom_site_type_symbol
_atom_site_fract_x
_atom_site_fract_y
_atom_site_fract_z
Li1 Li 0.000 0.000 0.500
La1 La 0.500 0.500 0.500
Mg1 Mg 0.000 0.000 0.000
# ΔE_f: 1.54 eV per formula unit
# electronic total energy: -2.1452 eV/atom
# total magnetization: 0.00 Bohr magnetons per cell
# Fermi-level density of states: 1.25 states/eV/atom

---

(2)
# LiLaMg14 PBE relaxed
data_LiLaMg14
_space_group_name_H-M_alt 'P -6 m 2'
_space_group_IT_number 187
_space_group_name_Hall 'P -6 2'
_cell_length_a 6.5710
_cell_length_b 6.5710
_cell_length_c 10.3713
_cell_angle_alpha 90.00
_cell_angle_beta 90.00
_cell_angle_gamma 120.00
loop_
_atom_site_label
_atom_site_type_symbol
_atom_site_fract_x
_atom_site_fract_y
_atom_site_fract_z
Li1 Li 0.0000 0.0000 0.0000
La1 La 0.0000 0.0000 0.5000
Mg1 Mg 0.0159 0.5080 0.5000
Mg2 Mg 0.1677 0.3355 0.2414
Mg3 Mg 0.5015 0.0029 0.0000
Mg4 Mg 0.6667 0.3333 0.2628
# ΔE_f: 0.00 eV per formula unit
# electronic total energy: -1.8227 eV/atom
# total magnetization: 0.00 Bohr magnetons per cell
# Fermi-level density of states: 0.47 states/eV/atom

---

(3)
# LiLaMg2 PBE relaxed
data_LiLaMg2
_space_group_name_H-M_alt 'I -4 2 d'
_space_group_IT_number 122
_space_group_name_Hall 'I -4 2bw'
_cell_length_a 4.528
_cell_length_b 4.528
_cell_length_c 22.271
_cell_angle_alpha 90.00
_cell_angle_beta 90.00
_cell_angle_gamma 90.00
loop_
_atom_site_label
_atom_site_type_symbol
_atom_site_fract_x
_atom_site_fract_y
_atom_site_fract_z
Li1 Li 0.000 0.000 0.000
La1 La 0.000 0.000 0.500
Mg1 Mg 0.207 0.250 0.125
# ΔE_f: 1.04 eV per formula unit
# electronic total energy: -2.2484 eV/atom
# total magnetization: 0.00 Bohr magnetons per cell
# Fermi-level density of states: 0.71 states/eV/atom

---

Number 1 is which compound?
Li3LaMg